Entry 1:
DFT (PBE-GGA) results for crystalline Te2Cl at its relaxed geometry.

The structure in extended XYZ format:
```
12
Lattice="7.7163 0.0000 0.0000 0.0000 7.7163 0.0000 0.0000 0.0000 7.7163" Properties=species:S:1:pos:R:3 pbc="T T T"
Te 0.7376 0.7376 0.7376
Te 0.7376 3.1205 4.5958
Te 3.1205 4.5958 0.7376
Te 3.1205 6.9786 4.5958
Te 4.5958 0.7376 3.1205
Te 4.5958 3.1205 6.9786
Te 6.9786 4.5958 3.1205
Te 6.9786 6.9786 6.9786
Cl 0.0000 0.0000 3.8581
Cl 0.0000 3.8581 0.0000
Cl 3.8581 0.0000 0.0000
Cl 3.8581 3.8581 3.8581
```

Values from the calculation:
The space group is No. 205. The crystal system is cubic. Its energy above the most stable polymorph in this dataset is 453 meV/atom. For the uncorrected formation energy, the calculation gives 20.0 kJ per mole of atoms. The volume is 459 Å³/cell.



Entry 2:
DFT (PBE-GGA) results for crystalline Cu4AsS5 at its relaxed geometry.

The structure in extended XYZ format:
```
10
Lattice="-3.9290 3.9290 2.4916 3.9290 -3.9290 2.4916 3.9290 3.9290 -2.4916" Properties=species:S:1:pos:R:3 pbc="T T T"
Cu 2.3413 0.8425 0.0000
Cu 3.0865 -1.5877 2.4916
Cu 0.8425 5.5167 0.0000
Cu 1.5877 3.0865 2.4916
As 0.0000 0.0000 2.5217
S 4.6827 1.5367 -0.0132
S 1.5367 3.1753 -0.0132
S 2.3923 0.7537 2.4785
S -0.7537 2.3923 2.4785
S 0.0000 0.0000 4.9029
```

Values from the calculation:
The space group is No. 79. The crystal system is tetragonal. For the uncorrected formation energy, the calculation gives -5.7 kJ per mole of atoms. The volume is 154 Å³/cell.



Entry 3:
DFT (PBE-GGA) results for crystalline Pm8Si3PCl4 at its relaxed geometry.

The structure in extended XYZ format:
```
16
Lattice="4.1798 2.4132 6.9369 -4.1798 2.4132 6.9369 0.0000 -4.8264 6.9369" Properties=species:S:1:pos:R:3 pbc="T T T"
Pm 0.0000 0.0000 5.0198
Pm -2.0740 -1.1974 11.9272
Pm 0.0000 -2.3948 8.8834
Pm -2.0740 1.1974 8.8834
Pm 2.0740 -1.1974 11.9272
Pm 0.0000 2.3948 11.9272
Pm 2.0740 1.1974 8.8834
Pm 0.0000 0.0000 15.7908
Si -4.1798 0.0000 10.4053
Si -2.0899 1.2066 3.4684
Si 2.0899 1.2066 3.4684
P 0.0000 0.0000 10.4053
Cl 0.0000 0.0000 0.0000
Cl -2.0899 -1.2066 6.9369
Cl -2.0899 1.2066 13.8737
Cl 0.0000 2.4132 6.9369
```

Values from the calculation:
The space group is No. 166. The crystal system is trigonal. For the uncorrected formation energy, the calculation gives -124.4 kJ per mole of atoms. The volume is 420 Å³/cell.



Entry 4:
DFT (PBE-GGA) results for crystalline MnAlCu2 at its relaxed geometry.

The structure in extended XYZ format:
```
4
Lattice="1.3348 0.7706 8.3117 -1.3348 0.7706 8.3117 0.0000 -1.5413 8.3117" Properties=species:S:1:pos:R:3 pbc="T T T"
Mn 0.0000 0.0000 0.0000
Al 0.0000 0.0000 18.6838
Cu 0.0000 0.0000 6.2322
Cu 0.0000 0.0000 12.4708
```

Values from the calculation:
The space group is No. 160. The value obtained for the energy of formation from the pure elements is 39 meV/atom. The crystal system is trigonal. The volume is 51 Å³/cell.



Entry 5:
DFT (PBE-GGA) results for crystalline NaCdP at its relaxed geometry.

The structure in extended XYZ format:
```
12
Lattice="0.0000 5.0454 6.4416 4.9204 0.0000 6.4416 4.9204 5.0454 0.0000" Properties=species:S:1:pos:R:3 pbc="T T T"
Na 3.6903 3.7841 0.0862
Na 6.1505 6.3068 3.3070
Na 3.6903 3.7841 9.5762
Na 6.1505 6.3068 12.7970
Cd 4.9204 2.5227 3.2208
Cd 2.4602 5.0454 3.2208
Cd 2.4602 2.5227 6.4416
Cd 4.9204 5.0454 6.4416
P 3.6903 1.1380 4.8312
P 6.1505 3.6607 8.0520
P 3.6903 6.4301 4.8312
P 6.1505 8.9529 8.0520
```

Values from the calculation:
The space group is No. 70. The value obtained for the energy of formation from the pure elements is -224 meV/atom. The crystal system is orthorhombic. The volume is 320 Å³/cell.



Entry 6:
DFT (PBE-GGA) results for crystalline AcLa2Ce3Te6 at its relaxed geometry.

The structure in extended XYZ format:
```
12
Lattice="3.9319 -6.8173 0.0000 3.9319 6.8173 0.0000 -2.6303 0.0000 7.5316" Properties=species:S:1:pos:R:3 pbc="T T T"
Ac 0.0000 0.0000 0.0000
La 3.9319 2.2811 0.0000
La 3.9319 -2.2811 0.0000
Ce 2.6168 4.5832 3.7658
Ce 2.6168 0.0000 3.7658
Ce 2.6168 -4.5832 3.7658
Te 1.3313 2.3086 1.9539
Te 0.0393 0.0000 5.6008
Te 1.3313 -2.3086 1.9539
Te 3.9022 2.3086 5.5777
Te 5.1942 0.0000 1.9308
Te 3.9022 -2.3086 5.5777
```

Values from the calculation:
The space group is No. 12. The crystal system is monoclinic. For the uncorrected formation energy, the calculation gives -140.9 kJ per mole of atoms. The volume is 404 Å³/cell.